The following is a DFT calculation (PBE-GGA) of crystalline HgRhS2N at its relaxed geometry.

a = 5.081 Å, b = 5.081 Å, c = 4.065 Å
α = 90.00°, β = 90.00°, γ = 90.00°
Space group P4/mmm (No. 123)
Unique sites:
Hg: 0.000 0.000 0.000 (multiplicity 1)
Rh: 0.500 0.500 0.500 (multiplicity 1)
S: 0.000 0.500 0.000 (multiplicity 2)
N: 0.000 0.000 0.500 (multiplicity 1)

- Relative energy among the computed polymorphs: 1257 meV/atom
- Total magnetization: 3.93 μB/cell

---

The following is a DFT calculation (PBE-GGA) of crystalline HoNiSb at its relaxed geometry.

a = 4.2899 Å, b = 4.2899 Å, c = 3.9986 Å
α = 90.00°, β = 90.00°, γ = 120.00°
Space group P3m1 (No. 156)
Unique sites:
Ho: 0.0000 0.0000 0.0000 (multiplicity 1)
Ni: 0.3333 0.6667 0.4950 (multiplicity 1)
Sb: 0.6667 0.3333 0.5002 (multiplicity 1)

- Total magnetization: 0.00 μB/cell
- Calculated total energy: -16.82 eV/cell

---

The following is a DFT calculation (PBE-GGA) of crystalline Li5Tl2Pb2Au at its relaxed geometry.

a = 11.170 Å, b = 11.170 Å, c = 3.495 Å
α = 90.00°, β = 90.00°, γ = 90.00°
Space group P4/mbm (No. 127)
Unique sites:
Li: 0.000 0.500 0.000 (multiplicity 2)
Li: 0.015 0.186 0.000 (multiplicity 8)
Tl: 0.141 0.359 0.500 (multiplicity 4)
Pb: 0.164 0.664 0.500 (multiplicity 4)
Au: 0.000 0.000 0.500 (multiplicity 2)

- Total magnetization: 0.00 μB/cell
- Formation energy from the elements: -0.2133 eV per atom

---

The following is a DFT calculation (PBE-GGA) of crystalline Nb4SbS8 at its relaxed geometry.

a = 10.329 Å, b = 10.329 Å, c = 10.329 Å
α = 90.00°, β = 90.00°, γ = 90.00°
Space group F-43m (No. 216)
Unique sites:
Nb: 0.104 0.104 0.104 (multiplicity 16)
Sb: 0.000 0.000 0.500 (multiplicity 4)
S: 0.129 0.129 0.871 (multiplicity 16)
S: 0.144 0.144 0.356 (multiplicity 16)

- Relative energy among the computed polymorphs: 0 meV/atom
- Total magnetization: 0.00 μB/cell

---

The following is a DFT calculation (PBE-GGA) of crystalline LiAc2NdHg6 at its relaxed geometry.

a = 4.945 Å, b = 6.198 Å, c = 9.904 Å
α = 89.75°, β = 89.79°, γ = 66.50°
Space group P-1 (No. 2)
Unique sites:
Li: 0.000 0.000 0.000 (multiplicity 1)
Ac: 0.293 0.417 0.192 (multiplicity 2)
Nd: 0.500 0.000 0.500 (multiplicity 1)
Hg: 0.007 0.985 0.280 (multiplicity 2)
Hg: 0.194 0.611 0.537 (multiplicity 2)
Hg: 0.402 0.194 0.874 (multiplicity 2)

- Total magnetization: 0.00 μB/cell
- Formation energy from the elements: -0.4240 eV per atom

---

The following is a DFT calculation (PBE-GGA) of crystalline Hf2MgV at its relaxed geometry.

a = 3.1396 Å, b = 3.1396 Å, c = 28.9533 Å
α = 90.00°, β = 90.00°, γ = 120.00°
Space group R-3m (No. 166, hexagonal axes)
Unique sites:
Hf: 0.0000 0.0000 0.2409 (multiplicity 6)
Mg: 0.0000 0.0000 0.0000 (multiplicity 3)
V: 0.0000 0.0000 0.5000 (multiplicity 3)

- Total magnetization: 3.59 μB/cell
- Formation energy from the elements: 0.2212 eV per atom

---

The following is a DFT calculation (PBE-GGA) of crystalline Zr3BiH at its relaxed geometry.

a = 3.068 Å, b = 6.160 Å, c = 15.135 Å
α = 90.00°, β = 90.00°, γ = 90.00°
Space group Amm2 (No. 38)
Unique sites:
Zr: 0.000 0.000 0.000 (multiplicity 2)
Zr: 0.500 0.250 0.358 (multiplicity 4)
Bi: 0.500 0.000 0.179 (multiplicity 2)
H: 0.000 0.000 0.390 (multiplicity 2)

- Relative energy among the computed polymorphs: 724 meV/atom
- Total magnetization: 0.00 μB/cell

---

The following is a DFT calculation (PBE-GGA) of crystalline Ba2GaPtCl at its relaxed geometry.

a = 6.225 Å, b = 6.225 Å, c = 4.761 Å
α = 90.00°, β = 90.00°, γ = 90.00°
Space group P4/mmm (No. 123)
Unique sites:
Ba: 0.000 0.500 0.000 (multiplicity 2)
Ga: 0.000 0.000 0.500 (multiplicity 1)
Pt: 0.000 0.000 0.000 (multiplicity 1)
Cl: 0.500 0.500 0.500 (multiplicity 1)

- Total magnetization: 0.00 μB/cell
- Calculated total energy: -19.97 eV/cell

---

The following is a DFT calculation (PBE-GGA) of crystalline Sr2Ga9Pd3 at its relaxed geometry.

a = 13.595 Å, b = 7.805 Å, c = 10.841 Å
α = 90.00°, β = 114.91°, γ = 90.00°
Space group C2/c (No. 15)
Unique sites:
Sr: 0.168 0.083 0.250 (multiplicity 8)
Ga: 0.000 0.380 0.250 (multiplicity 4)
Ga: 0.059 0.087 0.924 (multiplicity 8)
Ga: 0.101 0.318 0.748 (multiplicity 8)
Ga: 0.102 0.416 0.059 (multiplicity 8)
Ga: 0.222 0.419 0.423 (multiplicity 8)
Pd: 0.084 0.247 0.500 (multiplicity 8)
Pd: 0.250 0.250 0.000 (multiplicity 4)

- Total magnetization: 0.00 μB/cell
- Formation energy from the elements: -0.5409 eV per atom

---

The following is a DFT calculation (PBE-GGA) of crystalline UTiVC3 at its relaxed geometry.

a = 5.420 Å, b = 3.170 Å, c = 8.173 Å
α = 90.00°, β = 102.47°, γ = 90.00°
Space group P2_1/m (No. 11)
Unique sites:
U: 0.145 0.250 0.197 (multiplicity 2)
Ti: 0.274 0.750 0.554 (multiplicity 2)
V: 0.375 0.250 0.866 (multiplicity 2)
C: 0.066 0.250 0.667 (multiplicity 2)
C: 0.256 0.750 0.988 (multiplicity 2)
C: 0.457 0.750 0.338 (multiplicity 2)

- Total magnetization: 0.00 μB/cell
- Formation energy from the elements: -0.4562 eV per atom

---

The following is a DFT calculation (PBE-GGA) of crystalline Mg6CrBi at its relaxed geometry.

a = 5.049 Å, b = 6.461 Å, c = 11.124 Å
α = 90.00°, β = 90.00°, γ = 90.00°
Space group Amm2 (No. 38)
Unique sites:
Mg: 0.000 0.000 0.000 (multiplicity 2)
Mg: 0.000 0.236 0.257 (multiplicity 4)
Mg: 0.500 0.000 0.164 (multiplicity 2)
Mg: 0.500 0.244 0.419 (multiplicity 4)
Cr: 0.000 0.000 0.496 (multiplicity 2)
Bi: 0.500 0.000 0.663 (multiplicity 2)

- Relative energy among the computed polymorphs: 6 meV/atom
- Total magnetization: 7.99 μB/cell
- Formation energy from the elements: 0.0969 eV per atom

---

The following is a DFT calculation (PBE-GGA) of crystalline Hg5Pb at its relaxed geometry.

a = 5.8755 Å, b = 5.8755 Å, c = 5.3755 Å
α = 90.00°, β = 90.00°, γ = 120.00°
Space group P-62m (No. 189)
Unique sites:
Hg: 0.0000 0.6609 0.0000 (multiplicity 3)
Hg: 0.3333 0.6667 0.5000 (multiplicity 2)
Pb: 0.0000 0.0000 0.5000 (multiplicity 1)

- Relative energy among the computed polymorphs: 11 meV/atom
- Total magnetization: 0.00 μB/cell
- Formation energy from the elements: 0.0331 eV per atom